## Si2RuW (PBE-GGA)

Data for Si2RuW after structural relaxation.

Cell lengths 2.8959, 2.8959, 23.7247 Å; angles 90.00, 90.00, 120.00 degrees
Space group R3m (No. 160, hexagonal axes)
Inequivalent atoms, fractional coordinates:
Si (0.0000, 0.0000, 0.0000) x3
Si (0.0000, 0.0000, 0.2515) x3
Ru (0.0000, 0.0000, 0.5089) x3
W (0.0000, 0.0000, 0.7522) x3

Computed properties:
- DOS at the Fermi energy: 0.36 states/eV per atom
- Total magnetization: 0.0 μB/cell

## Si2RuW (PBE-GGA)

Data for Si2RuW after structural relaxation.

Cell lengths 2.846, 3.850, 5.186 Å; angles 90.00, 90.00, 90.00 degrees
Space group Pmmm (No. 47)
Inequivalent atoms, fractional coordinates:
Si (0.000, 0.000, 0.241) x2
Ru (0.000, 0.500, 0.500) x1
W (0.500, 0.500, 0.000) x1

Computed properties:
- DOS at the Fermi energy: 0.62 states/eV per atom
- Total magnetization: 0.0 μB/cell

no.,uncorrected formation energy (eV per atom)
1,-0.046
2,-0.149